1.
# Tb2HoTa | the Alexandria database | GGA-PBE | optimized geometry
data_Tb2HoTa
_chemical_formula_sum 'Tb6 Ho3 Ta3'
_cell_length_a 3.2751
_cell_length_b 3.2751
_cell_length_c 34.9782
_cell_angle_alpha 90.00
_cell_angle_beta 90.00
_cell_angle_gamma 120.00
_symmetry_space_group_name_H-M 'R -3 m'
_symmetry_Int_Tables_number 166
_symmetry_space_group_name_Hall '-R 3 2"'
loop_
_atom_site_label
_atom_site_fract_x
_atom_site_fract_y
_atom_site_fract_z
Tb1 0.0000 0.0000 0.0837
Ho1 0.0000 0.0000 0.5000
Ta1 0.0000 0.0000 0.0000
# **E_form**: 0.601 eV per atom
# **DFT total energy**: -5.822 eV/atom
# **N(E_F)**: 1.350 states/eV/atom

2.
# LiEuDy2 | the Alexandria database | GGA-PBE | optimized geometry
data_LiEuDy2
_chemical_formula_sum 'Li1 Eu1 Dy2'
_cell_length_a 3.685
_cell_length_b 3.685
_cell_length_c 8.951
_cell_angle_alpha 90.00
_cell_angle_beta 90.00
_cell_angle_gamma 90.00
_symmetry_space_group_name_H-M 'P 4/m m m'
_symmetry_Int_Tables_number 123
_symmetry_space_group_name_Hall '-P 4 2'
loop_
_atom_site_label
_atom_site_fract_x
_atom_site_fract_y
_atom_site_fract_z
Li1 0.000 0.000 0.000
Eu1 0.000 0.000 0.500
Dy1 0.500 0.500 0.204
# **E_form**: 0.137 eV per atom
# **DFT total energy**: -5.211 eV/atom
# **N(E_F)**: 1.272 states/eV/atom
# **E above lowest polymorph**: 0.0 meV per atom

3.
# SrTcBr2 | the Alexandria database | GGA-PBE | optimized geometry
data_SrTcBr2
_chemical_formula_sum 'Sr1 Tc1 Br2'
_cell_length_a 3.808
_cell_length_b 4.672
_cell_length_c 6.498
_cell_angle_alpha 90.00
_cell_angle_beta 106.87
_cell_angle_gamma 90.00
_symmetry_space_group_name_H-M 'P 1 m 1'
_symmetry_Int_Tables_number 6
loop_
_symmetry_equiv_pos_as_xyz
'x,y,z'
'x,-y,z'
loop_
_atom_site_label
_atom_site_fract_x
_atom_site_fract_y
_atom_site_fract_z
Sr1 0.000 0.000 0.000
Tc1 0.632 0.500 0.266
Br1 0.411 0.500 0.821
Br2 0.707 0.000 0.418
# **Formation energy (no corrections)**: -270 meV per atom
# **DFT total energy**: -4.119 eV/atom
# **N(E_F)**: 0.832 states/eV/atom
# **E above lowest polymorph**: 80.0 meV per atom

4.
# HoPuSeS | the Alexandria database | GGA-PBE | optimized geometry
data_HoPuSeS
_chemical_formula_sum 'Ho3 Pu3 Se3 S3'
_cell_length_a 3.9764
_cell_length_b 3.9764
_cell_length_c 19.9885
_cell_angle_alpha 90.00
_cell_angle_beta 90.00
_cell_angle_gamma 120.00
_symmetry_space_group_name_H-M 'R 3 m'
_symmetry_Int_Tables_number 160
_symmetry_space_group_name_Hall 'R 3 -2"'
loop_
_atom_site_label
_atom_site_fract_x
_atom_site_fract_y
_atom_site_fract_z
Ho1 0.0000 0.0000 0.0000
Pu1 0.0000 0.0000 0.5116
Se1 0.0000 0.0000 0.7533
S1 0.0000 0.0000 0.2578
# **Formation energy (no corrections)**: -1778 meV per atom
# **DFT total energy**: -8.409 eV/atom
# **N(E_F)**: 1.934 states/eV/atom

5.
# AlCuIrPd | the Alexandria database | GGA-PBE | optimized geometry
data_AlCuIrPd
_chemical_formula_sum 'Al4 Cu4 Ir4 Pd4'
_cell_length_a 6.036
_cell_length_b 6.036
_cell_length_c 6.036
_cell_angle_alpha 90.00
_cell_angle_beta 90.00
_cell_angle_gamma 90.00
_symmetry_space_group_name_H-M 'F -4 3 m'
_symmetry_Int_Tables_number 216
_symmetry_space_group_name_Hall 'F -4 2 3'
loop_
_atom_site_label
_atom_site_fract_x
_atom_site_fract_y
_atom_site_fract_z
Al1 0.000 0.000 0.000
Cu1 0.000 0.000 0.500
Ir1 0.250 0.250 0.750
Pd1 0.250 0.250 0.250
# **E_form**: -0.504 eV per atom
# **DFT total energy**: -5.977 eV/atom
# **N(E_F)**: 0.355 states/eV/atom

6.
# BeGe2B | the Alexandria database | GGA-PBE | optimized geometry
data_BeGe2B
_chemical_formula_sum 'Be4 Ge8 B4'
_cell_length_a 5.327
_cell_length_b 5.327
_cell_length_c 9.029
_cell_angle_alpha 90.00
_cell_angle_beta 90.00
_cell_angle_gamma 90.00
_symmetry_space_group_name_H-M 'I -4 2 d'
_symmetry_Int_Tables_number 122
_symmetry_space_group_name_Hall 'I -4 2bw'
loop_
_atom_site_label
_atom_site_fract_x
_atom_site_fract_y
_atom_site_fract_z
Be1 0.000 0.000 0.000
Ge1 0.209 0.250 0.625
B1 0.000 0.000 0.500
# **E_form**: 0.583 eV per atom
# **DFT total energy**: -4.327 eV/atom
# **N(E_F)**: 0.568 states/eV/atom
# **E above lowest polymorph**: 0.0 meV per atom

7.
# BaLi4Ce | the Alexandria database | GGA-PBE | optimized geometry
data_BaLi4Ce
_chemical_formula_sum 'Ba4 Li16 Ce4'
_cell_length_a 8.879
_cell_length_b 8.879
_cell_length_c 8.879
_cell_angle_alpha 90.00
_cell_angle_beta 90.00
_cell_angle_gamma 90.00
_symmetry_space_group_name_H-M 'F -4 3 m'
_symmetry_Int_Tables_number 216
_symmetry_space_group_name_Hall 'F -4 2 3'
loop_
_atom_site_label
_atom_site_fract_x
_atom_site_fract_y
_atom_site_fract_z
Ba1 0.000 0.000 0.000
Li1 0.123 0.123 0.623
Ce1 0.250 0.250 0.250
# **E_form**: 0.209 eV per atom
# **DFT total energy**: -2.376 eV/atom
# **N(E_F)**: 2.111 states/eV/atom

8.
# BeBi3Mo | the Alexandria database | GGA-PBE | optimized geometry
data_BeBi3Mo
_chemical_formula_sum 'Be1 Bi3 Mo1'
_cell_length_a 5.385
_cell_length_b 5.385
_cell_length_c 5.385
_cell_angle_alpha 90.00
_cell_angle_beta 90.00
_cell_angle_gamma 90.00
_symmetry_space_group_name_H-M 'P m -3 m'
_symmetry_Int_Tables_number 221
_symmetry_space_group_name_Hall '-P 4 2 3'
loop_
_atom_site_label
_atom_site_fract_x
_atom_site_fract_y
_atom_site_fract_z
Be1 0.000 0.000 0.000
Bi1 0.000 0.500 0.500
Mo1 0.500 0.500 0.500
# **E_form**: 1.059 eV per atom
# **DFT total energy**: -4.181 eV/atom
# **N(E_F)**: 1.169 states/eV/atom
# **E above lowest polymorph**: 8.7 meV per atom

9.
# Y5In4Ir | the Alexandria database | GGA-PBE | optimized geometry
data_Y5In4Ir
_chemical_formula_sum 'Y5 In4 Ir1'
_cell_length_a 3.512
_cell_length_b 3.512
_cell_length_c 20.573
_cell_angle_alpha 90.00
_cell_angle_beta 90.00
_cell_angle_gamma 90.00
_symmetry_space_group_name_H-M 'P 4/m m m'
_symmetry_Int_Tables_number 123
_symmetry_space_group_name_Hall '-P 4 2'
loop_
_atom_site_label
_atom_site_fract_x
_atom_site_fract_y
_atom_site_fract_z
Y1 0.000 0.000 0.000
Y2 0.000 0.000 0.209
Y3 0.000 0.000 0.420
In1 0.500 0.500 0.104
In2 0.500 0.500 0.312
Ir1 0.500 0.500 0.500
# **E_form**: -0.575 eV per atom
# **DFT total energy**: -5.789 eV/atom
# **N(E_F)**: 0.356 states/eV/atom

10.
# LaFePb | the Alexandria database | GGA-PBE | optimized geometry
data_LaFePb
_chemical_formula_sum 'La1 Fe1 Pb1'
_cell_length_a 4.6994
_cell_length_b 4.6994
_cell_length_c 4.0802
_cell_angle_alpha 90.00
_cell_angle_beta 90.00
_cell_angle_gamma 120.00
_symmetry_space_group_name_H-M 'P -6 m 2'
_symmetry_Int_Tables_number 187
_symmetry_space_group_name_Hall 'P -6 2'
loop_
_atom_site_label
_atom_site_fract_x
_atom_site_fract_y
_atom_site_fract_z
La1 0.0000 0.0000 0.0000
Fe1 0.3333 0.6667 0.5000
Pb1 0.6667 0.3333 0.5000
# **E_form**: -0.005 eV per atom
# **DFT total energy**: -5.704 eV/atom
# **N(E_F)**: 2.147 states/eV/atom

11.
# Nb4CuPt5 | the Alexandria database | GGA-PBE | optimized geometry
data_Nb4CuPt5
_chemical_formula_sum 'Nb4 Cu1 Pt5'
_cell_length_a 3.468
_cell_length_b 3.468
_cell_length_c 13.799
_cell_angle_alpha 90.00
_cell_angle_beta 90.00
_cell_angle_gamma 90.00
_symmetry_space_group_name_H-M 'P 4/m m m'
_symmetry_Int_Tables_number 123
_symmetry_space_group_name_Hall '-P 4 2'
loop_
_atom_site_label
_atom_site_fract_x
_atom_site_fract_y
_atom_site_fract_z
Nb1 0.000 0.000 0.101
Nb2 0.000 0.000 0.305
Cu1 0.000 0.000 0.500
Pt1 0.500 0.500 0.000
Pt2 0.500 0.500 0.202
Pt3 0.500 0.500 0.404
# **E_form**: -0.433 eV per atom
# **DFT total energy**: -7.891 eV/atom
# **N(E_F)**: 1.149 states/eV/atom

12.
# Ba2HoNpSe6 | the Alexandria database | GGA-PBE | optimized geometry
data_Ba2HoNpSe6
_chemical_formula_sum 'Ba4 Ho2 Np2 Se12'
_cell_length_a 7.435
_cell_length_b 7.830
_cell_length_c 13.090
_cell_angle_alpha 90.00
_cell_angle_beta 124.57
_cell_angle_gamma 90.00
_symmetry_space_group_name_H-M 'P 1 21/c 1'
_symmetry_Int_Tables_number 14
loop_
_symmetry_equiv_pos_as_xyz
'x,y,z'
'-x,-y,-z'
'-x,y+1/2,-z+1/2'
'x,-y+1/2,z+1/2'
loop_
_atom_site_label
_atom_site_fract_x
_atom_site_fract_y
_atom_site_fract_z
Ba1 0.228 0.072 0.249
Ho1 0.000 0.000 0.500
Np1 0.500 0.000 0.000
Se1 0.157 0.197 0.956
Se2 0.262 0.704 0.955
Se3 0.339 0.016 0.754
# **Formation energy (no corrections)**: -1633 meV per atom
# **DFT total energy**: -5.860 eV/atom
# **N(E_F)**: 0.791 states/eV/atom

- The lowest N(E_F) belongs to which entry?
  AlCuIrPd